# 1
BeFeMoOs: optimized geometry, PBE.

extended XYZ file:
```
16
Lattice="5.8655 0.0000 0.0000 0.0000 5.8655 0.0000 0.0000 0.0000 5.8655" Properties=species:S:1:pos:R:3 pbc="T T T"
Be 0.0000 0.0000 0.0000
Be 0.0000 2.9328 2.9328
Be 2.9328 0.0000 2.9328
Be 2.9328 2.9328 0.0000
Fe 1.4664 1.4664 4.3992
Fe 1.4664 4.3992 1.4664
Fe 4.3992 1.4664 1.4664
Fe 4.3992 4.3992 4.3992
Mo 0.0000 0.0000 2.9328
Mo 0.0000 2.9328 0.0000
Mo 2.9328 0.0000 0.0000
Mo 2.9328 2.9328 2.9328
Os 1.4664 1.4664 1.4664
Os 1.4664 4.3992 4.3992
Os 4.3992 1.4664 4.3992
Os 4.3992 4.3992 1.4664
```

Output
DOS(E_F): 6.442 states/eV/cell
Energy relative to the elements: -0.006 eV per atom
Crystal system: cubic
Total magnetic moment: 0.0 μB per formula unit


# 2
Be2Fe5Mo2Os: optimized geometry, PBE.

extended XYZ file:
```
20
Lattice="8.4214 0.0000 0.0000 0.0000 8.4214 0.0000 0.0000 0.0000 3.2383" Properties=species:S:1:pos:R:3 pbc="T T T"
Be 0.9834 3.2273 0.0000
Be 3.2273 7.4380 0.0000
Be 5.1941 0.9834 0.0000
Be 7.4380 5.1941 0.0000
Fe 0.0000 4.2107 1.6192
Fe 0.5847 1.7927 1.6192
Fe 1.7927 7.8367 1.6192
Fe 2.4180 3.6260 1.6192
Fe 3.6260 6.0035 1.6192
Fe 4.2107 0.0000 1.6192
Fe 4.7954 2.4180 1.6192
Fe 6.0035 4.7954 1.6192
Fe 6.6287 0.5847 1.6192
Fe 7.8367 6.6287 1.6192
Mo 1.4969 5.7076 0.0000
Mo 2.7138 1.4969 0.0000
Mo 5.7076 6.9246 0.0000
Mo 6.9246 2.7138 0.0000
Os 0.0000 0.0000 0.0000
Os 4.2107 4.2107 0.0000
```

Output
DOS(E_F): 18.378 states/eV/cell
Energy relative to the elements: 0.056 eV per atom
Crystal system: tetragonal
Total magnetic moment: 4.2 μB per formula unit


# 3
Be2Fe5Re2Mo: optimized geometry, PBE.

extended XYZ file:
```
20
Lattice="8.3810 0.0000 0.0000 0.0000 8.3810 0.0000 0.0000 0.0000 3.2090" Properties=species:S:1:pos:R:3 pbc="T T T"
Be 1.0027 3.1878 0.0000
Be 3.1878 7.3783 0.0000
Be 5.1932 1.0027 0.0000
Be 7.3783 5.1932 0.0000
Fe 0.0000 4.1905 1.6045
Fe 0.5576 1.7730 1.6045
Fe 1.7730 7.8234 1.6045
Fe 2.4174 3.6329 1.6045
Fe 3.6329 5.9635 1.6045
Fe 4.1905 0.0000 1.6045
Fe 4.7481 2.4174 1.6045
Fe 5.9635 4.7481 1.6045
Fe 6.6079 0.5576 1.6045
Fe 7.8234 6.6079 1.6045
Re 1.4716 5.6621 0.0000
Re 2.7189 1.4716 0.0000
Re 5.6621 6.9094 0.0000
Re 6.9094 2.7189 0.0000
Mo 0.0000 0.0000 0.0000
Mo 4.1905 4.1905 0.0000
```

Output
DOS(E_F): 17.535 states/eV/cell
Energy relative to the elements: 0.041 eV per atom
Crystal system: tetragonal
Total magnetic moment: 5.2 μB per formula unit


# 4
BeFeMoRu: optimized geometry, PBE.

extended XYZ file:
```
16
Lattice="5.8309 0.0000 0.0000 0.0000 5.8309 0.0000 0.0000 0.0000 5.8309" Properties=species:S:1:pos:R:3 pbc="T T T"
Be 0.0000 0.0000 0.0000
Be 0.0000 2.9154 2.9154
Be 2.9154 0.0000 2.9154
Be 2.9154 2.9154 0.0000
Fe 1.4577 1.4577 4.3732
Fe 1.4577 4.3732 1.4577
Fe 4.3732 1.4577 1.4577
Fe 4.3732 4.3732 4.3732
Mo 0.0000 0.0000 2.9154
Mo 0.0000 2.9154 0.0000
Mo 2.9154 0.0000 0.0000
Mo 2.9154 2.9154 2.9154
Ru 1.4577 1.4577 1.4577
Ru 1.4577 4.3732 4.3732
Ru 4.3732 1.4577 4.3732
Ru 4.3732 4.3732 1.4577
```

Output
DOS(E_F): 3.569 states/eV/cell
Energy relative to the elements: -0.072 eV per atom
Crystal system: cubic
Total magnetic moment: 0.0 μB per formula unit


# 5
Be2Fe5SiMo2: optimized geometry, PBE.

extended XYZ file:
```
20
Lattice="8.7104 0.0000 0.0000 0.0000 8.7104 0.0000 0.0000 0.0000 2.8394" Properties=species:S:1:pos:R:3 pbc="T T T"
Be 1.0774 3.2778 0.0000
Be 3.2778 7.6330 0.0000
Be 5.4326 1.0774 0.0000
Be 7.6330 5.4326 0.0000
Fe 0.0000 4.3552 1.4197
Fe 0.5367 1.7971 1.4197
Fe 1.7971 8.1737 1.4197
Fe 2.5581 3.8185 1.4197
Fe 3.8185 6.1523 1.4197
Fe 4.3552 0.0000 1.4197
Fe 4.8919 2.5581 1.4197
Fe 6.1523 4.8919 1.4197
Fe 6.9133 0.5367 1.4197
Fe 8.1737 6.9133 1.4197
Si 0.0000 0.0000 0.0000
Si 4.3552 4.3552 0.0000
Mo 1.5247 5.8799 0.0000
Mo 2.8305 1.5247 0.0000
Mo 5.8799 7.1857 0.0000
Mo 7.1857 2.8305 0.0000
```

Output
DOS(E_F): 16.314 states/eV/cell
E_form (uncorrected): -0.1631 eV/atom
Crystal system: tetragonal
Total magnetic moment: 0.0 μB per formula unit


# 6
BeFeSiMo2: optimized geometry, PBE.

extended XYZ file:
```
5
Lattice="4.4491 0.0000 0.0000 0.0000 4.4491 0.0000 0.0000 0.0000 3.8430" Properties=species:S:1:pos:R:3 pbc="T T T"
Be 0.0000 0.0000 0.0000
Fe 0.0000 0.0000 1.9215
Si 2.2246 2.2246 0.0000
Mo 0.0000 2.2246 1.9215
Mo 2.2246 0.0000 1.9215
```

Output
DOS(E_F): 4.672 states/eV/cell
E_form (uncorrected): 0.9016 eV/atom
Crystal system: tetragonal
Total magnetic moment: 0.0 μB per formula unit


# 7
Be2Fe5TcMo2: optimized geometry, PBE.

extended XYZ file:
```
20
Lattice="8.4576 0.0000 0.0000 0.0000 8.4576 0.0000 0.0000 0.0000 3.1918" Properties=species:S:1:pos:R:3 pbc="T T T"
Be 1.0041 3.2247 0.0000
Be 3.2247 7.4535 0.0000
Be 5.2329 1.0041 0.0000
Be 7.4535 5.2329 0.0000
Fe 0.0000 4.2288 1.5959
Fe 0.5869 1.7848 1.5959
Fe 1.7848 7.8707 1.5959
Fe 2.4440 3.6419 1.5959
Fe 3.6419 6.0136 1.5959
Fe 4.2288 0.0000 1.5959
Fe 4.8157 2.4440 1.5959
Fe 6.0136 4.8157 1.5959
Fe 6.6728 0.5869 1.5959
Fe 7.8707 6.6728 1.5959
Tc 0.0000 0.0000 0.0000
Tc 4.2288 4.2288 0.0000
Mo 1.4921 5.7209 0.0000
Mo 2.7367 1.4921 0.0000
Mo 5.7209 6.9656 0.0000
Mo 6.9656 2.7367 0.0000
```

Output
DOS(E_F): 17.382 states/eV/cell
Energy relative to the elements: 0.033 eV per atom
Crystal system: tetragonal
Total magnetic moment: 3.0 μB per formula unit


# 8
BeFeTcMo: optimized geometry, PBE.

extended XYZ file:
```
16
Lattice="5.8669 0.0000 0.0000 0.0000 5.8669 0.0000 0.0000 0.0000 5.8669" Properties=species:S:1:pos:R:3 pbc="T T T"
Be 0.0000 0.0000 0.0000
Be 0.0000 2.9334 2.9334
Be 2.9334 0.0000 2.9334
Be 2.9334 2.9334 0.0000
Fe 1.4667 1.4667 4.4002
Fe 1.4667 4.4002 1.4667
Fe 4.4002 1.4667 1.4667
Fe 4.4002 4.4002 4.4002
Tc 1.4667 1.4667 1.4667
Tc 1.4667 4.4002 4.4002
Tc 4.4002 1.4667 4.4002
Tc 4.4002 4.4002 1.4667
Mo 0.0000 0.0000 2.9334
Mo 0.0000 2.9334 0.0000
Mo 2.9334 0.0000 0.0000
Mo 2.9334 2.9334 2.9334
```

Output
DOS(E_F): 14.291 states/eV/cell
Energy relative to the elements: 0.031 eV per atom
Crystal system: cubic
Total magnetic moment: 0.5 μB per formula unit


# 9
Be2VFe5Mo2: optimized geometry, PBE.

extended XYZ file:
```
20
Lattice="8.7361 0.0000 0.0000 0.0000 8.7361 0.0000 0.0000 0.0000 2.8717" Properties=species:S:1:pos:R:3 pbc="T T T"
Be 1.0683 3.2997 0.0000
Be 3.2997 7.6678 0.0000
Be 5.4364 1.0683 0.0000
Be 7.6678 5.4364 0.0000
V 0.0000 0.0000 0.0000
V 4.3681 4.3681 0.0000
Fe 0.0000 4.3681 1.4358
Fe 0.5819 1.8234 1.4358
Fe 1.8234 8.1542 1.4358
Fe 2.5446 3.7862 1.4358
Fe 3.7862 6.1915 1.4358
Fe 4.3681 0.0000 1.4358
Fe 4.9499 2.5446 1.4358
Fe 6.1915 4.9499 1.4358
Fe 6.9127 0.5819 1.4358
Fe 8.1542 6.9127 1.4358
Mo 1.5291 5.8971 0.0000
Mo 2.8390 1.5291 0.0000
Mo 5.8971 7.2070 0.0000
Mo 7.2070 2.8390 0.0000
```

Output
DOS(E_F): 8.892 states/eV/cell
Energy relative to the elements: -0.089 eV per atom
Crystal system: tetragonal
Total magnetic moment: 0.0 μB per formula unit


# 10
Be2Fe5MoW2: optimized geometry, PBE.

extended XYZ file:
```
20
Lattice="8.6604 0.0000 0.0000 0.0000 8.6604 0.0000 0.0000 0.0000 3.0237" Properties=species:S:1:pos:R:3 pbc="T T T"
Be 1.0392 3.2910 0.0000
Be 3.2910 7.6212 0.0000
Be 5.3694 1.0392 0.0000
Be 7.6212 5.3694 0.0000
Fe 0.0000 4.3302 1.5118
Fe 0.6039 1.8361 1.5118
Fe 1.8361 8.0565 1.5118
Fe 2.4942 3.7263 1.5118
Fe 3.7263 6.1663 1.5118
Fe 4.3302 0.0000 1.5118
Fe 4.9341 2.4942 1.5118
Fe 6.1663 4.9341 1.5118
Fe 6.8244 0.6039 1.5118
Fe 8.0565 6.8244 1.5118
Mo 0.0000 0.0000 0.0000
Mo 4.3302 4.3302 0.0000
W 1.5094 5.8396 0.0000
W 2.8208 1.5094 0.0000
W 5.8396 7.1510 0.0000
W 7.1510 2.8208 0.0000
```

Output
DOS(E_F): 11.415 states/eV/cell
Energy relative to the elements: -0.015 eV per atom
Crystal system: tetragonal
Total magnetic moment: 1.5 μB per formula unit


What is the formula in the sixth record? BeFeSiMo2


What is the total magnetic moment in the seventh record? 3.0 μB per formula unit


What did the eighth record say?
BeFeTcMo: optimized geometry, PBE.

extended XYZ file:
```
16
Lattice="5.8669 0.0000 0.0000 0.0000 5.8669 0.0000 0.0000 0.0000 5.8669" Properties=species:S:1:pos:R:3 pbc="T T T"
Be 0.0000 0.0000 0.0000
Be 0.0000 2.9334 2.9334
Be 2.9334 0.0000 2.9334
Be 2.9334 2.9334 0.0000
Fe 1.4667 1.4667 4.4002
Fe 1.4667 4.4002 1.4667
Fe 4.4002 1.4667 1.4667
Fe 4.4002 4.4002 4.4002
Tc 1.4667 1.4667 1.4667
Tc 1.4667 4.4002 4.4002
Tc 4.4002 1.4667 4.4002
Tc 4.4002 4.4002 1.4667
Mo 0.0000 0.0000 2.9334
Mo 0.0000 2.9334 0.0000
Mo 2.9334 0.0000 0.0000
Mo 2.9334 2.9334 2.9334
```

Output
DOS(E_F): 14.291 states/eV/cell
Energy relative to the elements: 0.031 eV per atom
Crystal system: cubic
Total magnetic moment: 0.5 μB per formula unit